# Zr3CoTe PBE optimized geometry
data_Zr3CoTe
_chemical_formula_sum 'Zr6 Co2 Te2'
_cell_length_a 7.496
_cell_length_b 3.895
_cell_length_c 7.763
_cell_angle_alpha 90.00
_cell_angle_beta 114.92
_cell_angle_gamma 90.00
_space_group_name_H-M_alt 'P 1'
_space_group_IT_number 1
loop_
_space_group_symop_operation_xyz
'x,y,z'
loop_
_atom_site_label
_atom_site_type_symbol
_atom_site_fract_x
_atom_site_fract_y
_atom_site_fract_z
Zr1 Zr 0.037 0.250 0.215
Zr2 Zr 0.320 0.250 0.911
Zr3 Zr 0.333 0.750 0.584
Zr4 Zr 0.667 0.250 0.416
Zr5 Zr 0.680 0.750 0.089
Zr6 Zr 0.963 0.750 0.785
Co1 Co 0.074 0.250 0.579
Co2 Co 0.926 0.750 0.421
Te1 Te 0.329 0.750 0.194
Te2 Te 0.671 0.250 0.806
# - distance to the lowest polymorph of the same formula (meV per atom) = 0
# - energy relative to the elements, uncorrected (eV per atom) = -0.52
# - size of the total moment (μB per atom) = 0.0000
# - VASP energy (eV/atom) = -7.6937



# Zr2Co2Te PBE optimized geometry
data_Zr2Co2Te
_chemical_formula_sum 'Zr4 Co4 Te2'
_cell_length_a 7.008
_cell_length_b 7.008
_cell_length_c 3.523
_cell_angle_alpha 90.00
_cell_angle_beta 90.00
_cell_angle_gamma 90.00
_space_group_name_H-M_alt 'P 1'
_space_group_IT_number 1
loop_
_space_group_symop_operation_xyz
'x,y,z'
loop_
_atom_site_label
_atom_site_type_symbol
_atom_site_fract_x
_atom_site_fract_y
_atom_site_fract_z
Zr1 Zr 0.168 0.332 0.000
Zr2 Zr 0.332 0.832 0.000
Zr3 Zr 0.668 0.168 0.000
Zr4 Zr 0.832 0.668 0.000
Co1 Co 0.125 0.625 0.500
Co2 Co 0.375 0.125 0.500
Co3 Co 0.625 0.875 0.500
Co4 Co 0.875 0.375 0.500
Te1 Te 0.000 0.000 0.500
Te2 Te 0.500 0.500 0.500
# - distance to the lowest polymorph of the same formula (meV per atom) = 0
# - energy relative to the elements, uncorrected (eV per atom) = -0.37
# - size of the total moment (μB per atom) = 0.0000
# - VASP energy (eV/atom) = -7.2555



# ZrCo4Te PBE optimized geometry
data_ZrCo4Te
_chemical_formula_sum 'Zr1 Co4 Te1'
_cell_length_a 4.940
_cell_length_b 4.940
_cell_length_c 4.940
_cell_angle_alpha 60.00
_cell_angle_beta 60.00
_cell_angle_gamma 60.00
_space_group_name_H-M_alt 'P 1'
_space_group_IT_number 1
loop_
_space_group_symop_operation_xyz
'x,y,z'
loop_
_atom_site_label
_atom_site_type_symbol
_atom_site_fract_x
_atom_site_fract_y
_atom_site_fract_z
Zr1 Zr 0.000 0.000 0.000
Co1 Co 0.374 0.374 0.374
Co2 Co 0.374 0.374 0.877
Co3 Co 0.374 0.877 0.374
Co4 Co 0.877 0.374 0.374
Te1 Te 0.750 0.750 0.750
# - energy relative to the elements, uncorrected (eV per atom) = -0.04
# - size of the total moment (μB per atom) = 0.7604
# - VASP energy (eV/atom) = -6.7212



# Zr6CoTe2 PBE optimized geometry
data_Zr6CoTe2
_chemical_formula_sum 'Zr6 Co1 Te2'
_cell_length_a 7.809
_cell_length_b 7.809
_cell_length_c 3.630
_cell_angle_alpha 90.00
_cell_angle_beta 90.00
_cell_angle_gamma 120.00
_space_group_name_H-M_alt 'P 1'
_space_group_IT_number 1
loop_
_space_group_symop_operation_xyz
'x,y,z'
loop_
_atom_site_label
_atom_site_type_symbol
_atom_site_fract_x
_atom_site_fract_y
_atom_site_fract_z
Zr1 Zr 0.000 0.239 0.000
Zr2 Zr 0.000 0.596 0.500
Zr3 Zr 0.239 0.000 0.000
Zr4 Zr 0.404 0.404 0.500
Zr5 Zr 0.596 0.000 0.500
Zr6 Zr 0.761 0.761 0.000
Co1 Co 0.000 0.000 0.500
Te1 Te 0.333 0.667 0.000
Te2 Te 0.667 0.333 0.000
# - energy relative to the elements, uncorrected (eV per atom) = -0.57
# - size of the total moment (μB per atom) = 0.0000
# - VASP energy (eV/atom) = -7.7610



# Zr2CoTe PBE optimized geometry
data_Zr2CoTe
_chemical_formula_sum 'Zr2 Co1 Te1'
_cell_length_a 3.890
_cell_length_b 3.852
_cell_length_c 5.631
_cell_angle_alpha 90.00
_cell_angle_beta 110.17
_cell_angle_gamma 90.00
_space_group_name_H-M_alt 'P 1'
_space_group_IT_number 1
loop_
_space_group_symop_operation_xyz
'x,y,z'
loop_
_atom_site_label
_atom_site_type_symbol
_atom_site_fract_x
_atom_site_fract_y
_atom_site_fract_z
Zr1 Zr 0.000 0.000 0.000
Zr2 Zr 0.311 0.500 0.623
Co1 Co 0.761 0.000 0.518
Te1 Te 0.596 0.500 0.192
# - energy relative to the elements, uncorrected (eV per atom) = -0.45
# - size of the total moment (μB per atom) = 0.0050
# - VASP energy (eV/atom) = -7.2833



# Zr4CoTe PBE optimized geometry
data_Zr4CoTe
_chemical_formula_sum 'Zr8 Co2 Te2'
_cell_length_a 5.766
_cell_length_b 6.116
_cell_length_c 7.436
_cell_angle_alpha 90.00
_cell_angle_beta 95.19
_cell_angle_gamma 90.00
_space_group_name_H-M_alt 'P 1'
_space_group_IT_number 1
loop_
_space_group_symop_operation_xyz
'x,y,z'
loop_
_atom_site_label
_atom_site_type_symbol
_atom_site_fract_x
_atom_site_fract_y
_atom_site_fract_z
Zr1 Zr 0.097 0.250 0.060
Zr2 Zr 0.122 0.750 0.352
Zr3 Zr 0.383 0.503 0.785
Zr4 Zr 0.383 0.997 0.785
Zr5 Zr 0.617 0.003 0.215
Zr6 Zr 0.617 0.497 0.215
Zr7 Zr 0.878 0.250 0.648
Zr8 Zr 0.903 0.750 0.940
Co1 Co 0.321 0.750 0.053
Co2 Co 0.679 0.250 0.947
Te1 Te 0.291 0.250 0.439
Te2 Te 0.709 0.750 0.561
# - distance to the lowest polymorph of the same formula (meV per atom) = 0
# - energy relative to the elements, uncorrected (eV per atom) = -0.38
# - size of the total moment (μB per atom) = 0.0000
# - VASP energy (eV/atom) = -7.7824



# ZrCoTe2 PBE optimized geometry
data_ZrCoTe2
_chemical_formula_sum 'Zr1 Co1 Te2'
_cell_length_a 4.773
_cell_length_b 4.773
_cell_length_c 3.550
_cell_angle_alpha 90.00
_cell_angle_beta 90.00
_cell_angle_gamma 90.00
_space_group_name_H-M_alt 'P 1'
_space_group_IT_number 1
loop_
_space_group_symop_operation_xyz
'x,y,z'
loop_
_atom_site_label
_atom_site_type_symbol
_atom_site_fract_x
_atom_site_fract_y
_atom_site_fract_z
Zr1 Zr 0.000 0.000 0.000
Co1 Co 0.500 0.500 0.000
Te1 Te 0.000 0.500 0.500
Te2 Te 0.500 0.000 0.500
# - energy relative to the elements, uncorrected (eV per atom) = -0.15
# - size of the total moment (μB per atom) = 0.1907
# - VASP energy (eV/atom) = -5.6295



# Zr2CoTe PBE optimized geometry
data_Zr2CoTe
_chemical_formula_sum 'Zr2 Co1 Te1'
_cell_length_a 5.552
_cell_length_b 5.552
_cell_length_c 5.552
_cell_angle_alpha 137.53
_cell_angle_beta 137.53
_cell_angle_gamma 61.62
_space_group_name_H-M_alt 'P 1'
_space_group_IT_number 1
loop_
_space_group_symop_operation_xyz
'x,y,z'
loop_
_atom_site_label
_atom_site_type_symbol
_atom_site_fract_x
_atom_site_fract_y
_atom_site_fract_z
Zr1 Zr 0.000 0.000 0.000
Zr2 Zr 0.750 0.250 0.500
Co1 Co 0.250 0.750 0.500
Te1 Te 0.500 0.500 0.000
# - energy relative to the elements, uncorrected (eV per atom) = -0.20
# - size of the total moment (μB per atom) = 0.0001
# - VASP energy (eV/atom) = -7.0355



# ZrCoTe2 PBE optimized geometry
data_ZrCoTe2
_chemical_formula_sum 'Zr1 Co1 Te2'
_cell_length_a 5.848
_cell_length_b 5.848
_cell_length_c 5.848
_cell_angle_alpha 139.38
_cell_angle_beta 139.38
_cell_angle_gamma 58.79
_space_group_name_H-M_alt 'P 1'
_space_group_IT_number 1
loop_
_space_group_symop_operation_xyz
'x,y,z'
loop_
_atom_site_label
_atom_site_type_symbol
_atom_site_fract_x
_atom_site_fract_y
_atom_site_fract_z
Zr1 Zr 0.000 0.000 0.000
Co1 Co 0.250 0.750 0.500
Te1 Te 0.500 0.500 0.000
Te2 Te 0.750 0.250 0.500
# - energy relative to the elements, uncorrected (eV per atom) = 0.00
# - size of the total moment (μB per atom) = 0.2337
# - VASP energy (eV/atom) = -5.4800



# ZrCoTe2 PBE optimized geometry
data_ZrCoTe2
_chemical_formula_sum 'Zr1 Co1 Te2'
_cell_length_a 3.549
_cell_length_b 3.549
_cell_length_c 6.669
_cell_angle_alpha 90.00
_cell_angle_beta 90.00
_cell_angle_gamma 90.00
_space_group_name_H-M_alt 'P 1'
_space_group_IT_number 1
loop_
_space_group_symop_operation_xyz
'x,y,z'
loop_
_atom_site_label
_atom_site_type_symbol
_atom_site_fract_x
_atom_site_fract_y
_atom_site_fract_z
Zr1 Zr 0.000 0.000 0.000
Co1 Co 0.000 0.000 0.500
Te1 Te 0.500 0.500 0.255
Te2 Te 0.500 0.500 0.745
# - energy relative to the elements, uncorrected (eV per atom) = -0.09
# - size of the total moment (μB per atom) = 0.4702
# - VASP energy (eV/atom) = -5.5783



# Zr2CoTe PBE optimized geometry
data_Zr2CoTe
_chemical_formula_sum 'Zr2 Co1 Te1'
_cell_length_a 3.712
_cell_length_b 3.712
_cell_length_c 6.065
_cell_angle_alpha 90.00
_cell_angle_beta 90.00
_cell_angle_gamma 90.00
_space_group_name_H-M_alt 'P 1'
_space_group_IT_number 1
loop_
_space_group_symop_operation_xyz
'x,y,z'
loop_
_atom_site_label
_atom_site_type_symbol
_atom_site_fract_x
_atom_site_fract_y
_atom_site_fract_z
Zr1 Zr 0.000 0.000 0.000
Zr2 Zr 0.500 0.500 0.297
Co1 Co 0.000 0.000 0.433
Te1 Te 0.500 0.500 0.779
# - energy relative to the elements, uncorrected (eV per atom) = -0.26
# - size of the total moment (μB per atom) = 0.2049
# - VASP energy (eV/atom) = -7.0945



# Zr4CoTe PBE optimized geometry
data_Zr4CoTe
_chemical_formula_sum 'Zr4 Co1 Te1'
_cell_length_a 5.697
_cell_length_b 5.697
_cell_length_c 5.697
_cell_angle_alpha 60.00
_cell_angle_beta 60.00
_cell_angle_gamma 60.00
_space_group_name_H-M_alt 'P 1'
_space_group_IT_number 1
loop_
_space_group_symop_operation_xyz
'x,y,z'
loop_
_atom_site_label
_atom_site_type_symbol
_atom_site_fract_x
_atom_site_fract_y
_atom_site_fract_z
Zr1 Zr 0.124 0.124 0.124
Zr2 Zr 0.124 0.124 0.627
Zr3 Zr 0.124 0.627 0.124
Zr4 Zr 0.627 0.124 0.124
Co1 Co 0.750 0.750 0.750
Te1 Te 0.500 0.500 0.500
# - distance to the lowest polymorph of the same formula (meV per atom) = 836
# - energy relative to the elements, uncorrected (eV per atom) = 0.46
# - size of the total moment (μB per atom) = 0.1148
# - VASP energy (eV/atom) = -6.9466



# Zr2CoTe PBE optimized geometry
data_Zr2CoTe
_chemical_formula_sum 'Zr2 Co1 Te1'
_cell_length_a 3.268
_cell_length_b 3.268
_cell_length_c 7.653
_cell_angle_alpha 90.00
_cell_angle_beta 90.00
_cell_angle_gamma 101.31
_space_group_name_H-M_alt 'P 1'
_space_group_IT_number 1
loop_
_space_group_symop_operation_xyz
'x,y,z'
loop_
_atom_site_label
_atom_site_type_symbol
_atom_site_fract_x
_atom_site_fract_y
_atom_site_fract_z
Zr1 Zr 0.000 0.000 0.214
Zr2 Zr 0.000 0.000 0.786
Co1 Co 0.500 0.500 0.000
Te1 Te 0.500 0.500 0.500
# - energy relative to the elements, uncorrected (eV per atom) = -0.23
# - size of the total moment (μB per atom) = 0.2077
# - VASP energy (eV/atom) = -7.0653



# Zr2CoTe PBE optimized geometry
data_Zr2CoTe
_chemical_formula_sum 'Zr2 Co1 Te1'
_cell_length_a 5.117
_cell_length_b 5.117
_cell_length_c 5.117
_cell_angle_alpha 134.10
_cell_angle_beta 124.09
_cell_angle_gamma 75.14
_space_group_name_H-M_alt 'P 1'
_space_group_IT_number 1
loop_
_space_group_symop_operation_xyz
'x,y,z'
loop_
_atom_site_label
_atom_site_type_symbol
_atom_site_fract_x
_atom_site_fract_y
_atom_site_fract_z
Zr1 Zr 0.234 0.234 0.000
Zr2 Zr 0.766 0.766 0.000
Co1 Co 0.000 0.500 0.500
Te1 Te 0.500 0.000 0.500
# - energy relative to the elements, uncorrected (eV per atom) = -0.25
# - size of the total moment (μB per atom) = 0.1922
# - VASP energy (eV/atom) = -7.0873



# ZrCoTe2 PBE optimized geometry
data_ZrCoTe2
_chemical_formula_sum 'Zr1 Co1 Te2'
_cell_length_a 3.701
_cell_length_b 3.701
_cell_length_c 7.212
_cell_angle_alpha 90.00
_cell_angle_beta 90.00
_cell_angle_gamma 90.00
_space_group_name_H-M_alt 'P 1'
_space_group_IT_number 1
loop_
_space_group_symop_operation_xyz
'x,y,z'
loop_
_atom_site_label
_atom_site_type_symbol
_atom_site_fract_x
_atom_site_fract_y
_atom_site_fract_z
Zr1 Zr 0.000 0.000 0.000
Co1 Co 0.500 0.500 0.204
Te1 Te 0.000 0.000 0.376
Te2 Te 0.500 0.500 0.829
# - energy relative to the elements, uncorrected (eV per atom) = -0.32
# - size of the total moment (μB per atom) = 0.2503
# - VASP energy (eV/atom) = -5.8074



# Zr2CoTe PBE optimized geometry
data_Zr2CoTe
_chemical_formula_sum 'Zr2 Co1 Te1'
_cell_length_a 4.844
_cell_length_b 4.844
_cell_length_c 3.442
_cell_angle_alpha 90.10
_cell_angle_beta 90.10
_cell_angle_gamma 104.38
_space_group_name_H-M_alt 'P 1'
_space_group_IT_number 1
loop_
_space_group_symop_operation_xyz
'x,y,z'
loop_
_atom_site_label
_atom_site_type_symbol
_atom_site_fract_x
_atom_site_fract_y
_atom_site_fract_z
Zr1 Zr 0.000 0.500 0.000
Zr2 Zr 0.500 0.000 0.000
Co1 Co 0.000 0.000 0.500
Te1 Te 0.500 0.500 0.500
# - energy relative to the elements, uncorrected (eV per atom) = -0.26
# - size of the total moment (μB per atom) = 0.2585
# - VASP energy (eV/atom) = -7.0997



# ZrCo3Te PBE optimized geometry
data_ZrCo3Te
_chemical_formula_sum 'Zr1 Co3 Te1'
_cell_length_a 4.529
_cell_length_b 4.529
_cell_length_c 4.529
_cell_angle_alpha 90.00
_cell_angle_beta 90.00
_cell_angle_gamma 90.00
_space_group_name_H-M_alt 'P 1'
_space_group_IT_number 1
loop_
_space_group_symop_operation_xyz
'x,y,z'
loop_
_atom_site_label
_atom_site_type_symbol
_atom_site_fract_x
_atom_site_fract_y
_atom_site_fract_z
Zr1 Zr 0.000 0.000 0.000
Co1 Co 0.000 0.500 0.500
Co2 Co 0.500 0.000 0.500
Co3 Co 0.500 0.500 0.000
Te1 Te 0.500 0.500 0.500
# - distance to the lowest polymorph of the same formula (meV per atom) = 0
# - energy relative to the elements, uncorrected (eV per atom) = 0.83
# - size of the total moment (μB per atom) = 0.3485
# - VASP energy (eV/atom) = -5.7709



# Zr2CoTe PBE optimized geometry
data_Zr2CoTe
_chemical_formula_sum 'Zr2 Co1 Te1'
_cell_length_a 7.340
_cell_length_b 7.340
_cell_length_c 7.340
_cell_angle_alpha 29.67
_cell_angle_beta 29.67
_cell_angle_gamma 29.67
_space_group_name_H-M_alt 'P 1'
_space_group_IT_number 1
loop_
_space_group_symop_operation_xyz
'x,y,z'
loop_
_atom_site_label
_atom_site_type_symbol
_atom_site_fract_x
_atom_site_fract_y
_atom_site_fract_z
Zr1 Zr 0.232 0.232 0.232
Zr2 Zr 0.768 0.768 0.768
Co1 Co 0.500 0.500 0.500
Te1 Te 0.000 0.000 0.000
# - energy relative to the elements, uncorrected (eV per atom) = -0.45
# - size of the total moment (μB per atom) = 0.0000
# - VASP energy (eV/atom) = -7.2863



# ZrCoTe2 PBE optimized geometry
data_ZrCoTe2
_chemical_formula_sum 'Zr1 Co1 Te2'
_cell_length_a 4.909
_cell_length_b 4.909
_cell_length_c 4.909
_cell_angle_alpha 60.00
_cell_angle_beta 60.00
_cell_angle_gamma 60.00
_space_group_name_H-M_alt 'P 1'
_space_group_IT_number 1
loop_
_space_group_symop_operation_xyz
'x,y,z'
loop_
_atom_site_label
_atom_site_type_symbol
_atom_site_fract_x
_atom_site_fract_y
_atom_site_fract_z
Zr1 Zr 0.000 0.000 0.000
Co1 Co 0.500 0.500 0.500
Te1 Te 0.250 0.250 0.250
Te2 Te 0.750 0.750 0.750
# - energy relative to the elements, uncorrected (eV per atom) = -0.04
# - size of the total moment (μB per atom) = 0.1637
# - VASP energy (eV/atom) = -5.5292



# ZrCoTe2 PBE optimized geometry
data_ZrCoTe2
_chemical_formula_sum 'Zr1 Co1 Te2'
_cell_length_a 8.993
_cell_length_b 8.993
_cell_length_c 8.993
_cell_angle_alpha 24.39
_cell_angle_beta 24.39
_cell_angle_gamma 24.39
_space_group_name_H-M_alt 'P 1'
_space_group_IT_number 1
loop_
_space_group_symop_operation_xyz
'x,y,z'
loop_
_atom_site_label
_atom_site_type_symbol
_atom_site_fract_x
_atom_site_fract_y
_atom_site_fract_z
Zr1 Zr 0.000 0.000 0.000
Co1 Co 0.500 0.500 0.500
Te1 Te 0.406 0.406 0.406
Te2 Te 0.594 0.594 0.594
# - energy relative to the elements, uncorrected (eV per atom) = -0.04
# - size of the total moment (μB per atom) = 0.4276
# - VASP energy (eV/atom) = -5.5212